# 1
Density functional theory data (PBE-GGA) for an optimized crystal structure of Rb14NaHg.

Values from the calculation:
As for the crystal system: orthorhombic. Its formation energy from the elements is -0.007 eV per atom. For the total energy, the calculation gives -30.6 eV/cell. The calculation puts the spin magnetization at 0.0 μB/f.u.

Geometry as CIF:
```
data_Rb14NaHg
_chemical_formula_sum 'Rb28 Na2 Hg2'
_space_group_name_H-M_alt 'A m m 2'
_space_group_IT_number 38
_cell_length_a 14.089
_cell_length_b 11.984
_cell_length_c 15.349
_cell_angle_alpha 90.00
_cell_angle_beta 90.00
_cell_angle_gamma 90.00
loop_
_space_group_symop_operation_xyz
'x,y,z'
'-x,-y,z'
'-x,y,z'
'x,-y,z'
'x,y+1/2,z+1/2'
'-x,-y+1/2,z+1/2'
'-x,y+1/2,z+1/2'
'x,-y+1/2,z+1/2'
loop_
_atom_site_label
_atom_site_fract_x
_atom_site_fract_y
_atom_site_fract_z
Rb1 0.000 0.000 0.000
Rb2 0.000 0.000 0.471
Rb3 0.000 0.213 0.734
Rb4 0.233 0.000 0.245
Rb5 0.287 0.000 0.664
Rb6 0.310 0.196 0.947
Rb7 0.500 0.216 0.202
Na1 0.500 0.000 0.450
Hg1 0.500 0.000 0.829
```

# 2
Density functional theory data (PBE-GGA) for an optimized crystal structure of Rb5Na2Hg4.

Values from the calculation:
As for the crystal system: monoclinic. Its formation energy from the elements is -0.131 eV per atom. For the total energy, the calculation gives -20.2 eV/cell. The calculation puts the spin magnetization at 0.0 μB/f.u. The value obtained for the distance to the lowest polymorph of the same formula is 2.0 kJ per mole of atoms.

Geometry as CIF:
```
data_Rb5Na2Hg4
_chemical_formula_sum 'Rb10 Na4 Hg8'
_space_group_name_H-M_alt 'C 1 2/m 1'
_space_group_IT_number 12
_cell_length_a 12.971
_cell_length_b 8.900
_cell_length_c 9.866
_cell_angle_alpha 90.00
_cell_angle_beta 108.69
_cell_angle_gamma 90.00
loop_
_space_group_symop_operation_xyz
'x,y,z'
'-x,-y,-z'
'-x,y,-z'
'x,-y,z'
'x+1/2,y+1/2,z'
'-x+1/2,-y+1/2,-z'
'-x+1/2,y+1/2,-z'
'x+1/2,-y+1/2,z'
loop_
_atom_site_label
_atom_site_fract_x
_atom_site_fract_y
_atom_site_fract_z
Rb1 0.000 0.000 0.000
Rb2 0.184 0.261 0.686
Na1 0.045 0.500 0.196
Hg1 0.065 0.000 0.389
Hg2 0.207 0.500 0.005
```

# 3
Density functional theory data (PBE-GGA) for an optimized crystal structure of Rb12NaHg5.

Values from the calculation:
As for the crystal system: orthorhombic. Its formation energy from the elements is -0.125 eV per atom. For the total energy, the calculation gives -33.4 eV/cell. The calculation puts the spin magnetization at 0.0 μB/f.u.

Geometry as CIF:
```
data_Rb12NaHg5
_chemical_formula_sum 'Rb24 Na2 Hg10'
_space_group_name_H-M_alt 'I m m m'
_space_group_IT_number 71
_space_group_name_Hall '-I 2 2'
_cell_length_a 12.386
_cell_length_b 12.533
_cell_length_c 13.643
_cell_angle_alpha 90.00
_cell_angle_beta 90.00
_cell_angle_gamma 90.00
loop_
_atom_site_label
_atom_site_fract_x
_atom_site_fract_y
_atom_site_fract_z
Rb1 0.000 0.195 0.226
Rb2 0.196 0.500 0.176
Rb3 0.219 0.317 0.500
Na1 0.000 0.000 0.500
Hg1 0.000 0.000 0.000
Hg2 0.000 0.375 0.000
Hg3 0.000 0.500 0.388
```